[1]
Entry from the Open Quantum Materials Database: a relaxed BaZn2Ge crystal (PBE).

Cell: 4.2975 6.3460 7.7728 Å, 90.00 90.00 90.00°
Fractional coordinates of all 8 atoms:
Ba (0.0011, 0.0000, 0.0000)
Ba (0.9989, 0.0000, 0.5000)
Zn (0.0000, 0.4985, 0.2500)
Zn (0.0000, 0.5015, 0.7500)
Zn (0.4861, 0.5000, 0.0000)
Zn (0.5139, 0.5000, 0.5000)
Ge (0.5000, 0.2532, 0.7500)
Ge (0.5000, 0.7468, 0.2500)

Results
calculated total energy: -19.7 eV per cell
SG: P222_1, No. 17

---

[2]
Entry from the Open Quantum Materials Database: a relaxed BaZnGe crystal (PBE).

Cell: 5.4538 5.4538 6.7215 Å, 90.00 90.00 120.00°
Fractional coordinates of all 6 atoms:
Ba (0.3333, 0.6667, 0.2500)
Ba (0.6667, 0.3333, 0.7500)
Zn (0.0000, 0.0000, 0.0000)
Zn (0.0000, 0.0000, 0.5000)
Ge (0.3333, 0.6667, 0.7500)
Ge (0.6667, 0.3333, 0.2500)

Results
calculated total energy: -16.0 eV per cell
SG: P6_3/mmc, No. 194

---

[3]
Entry from the Open Quantum Materials Database: a relaxed Ba2ZnGe crystal (PBE).

Cell: 5.6444 5.6444 5.6444 Å, 60.00 60.00 60.00°
Fractional coordinates of all 4 atoms:
Ba (0.0000, 0.0000, 0.0000)
Ba (0.2500, 0.2500, 0.2500)
Zn (0.5000, 0.5000, 0.5000)
Ge (0.7500, 0.7500, 0.7500)

Results
calculated total energy: -9.7 eV per cell
SG: F-43m, No. 216

---

[4]
Entry from the Open Quantum Materials Database: a relaxed BaZnGe2 crystal (PBE).

Cell: 5.2146 5.2146 5.2146 Å, 60.00 60.00 60.00°
Fractional coordinates of all 4 atoms:
Ba (0.0000, 0.0000, 0.0000)
Zn (0.2500, 0.2500, 0.2500)
Ge (0.5000, 0.5000, 0.5000)
Ge (0.7500, 0.7500, 0.7500)

Results
calculated total energy: -12.4 eV per cell
SG: F-43m, No. 216